Entry 1:
4
Lattice="2.9541 0.0000 0.0000 0.0000 2.9541 0.0000 0.0000 0.0000 6.7087" Properties=species:S:1:pos:R:3 comment="MnW2Se (PBE, optimized geometry)" formation_energy_uncorrected_ev_per_atom=0.31 magnetic_moment_mub_per_cell=0.00 total_energy_ev_per_atom=-9.33 pbc="T T T"
Mn 0.0000 0.0000 0.0000
W 1.4771 1.4771 1.5826
W 1.4771 1.4771 5.1261
Se 0.0000 0.0000 3.3544

Entry 2:
8
Lattice="2.3448 -5.6797 0.0000 2.3448 5.6797 0.0000 -0.0747 0.0000 5.2724" Properties=species:S:1:pos:R:3 comment="Al6ZnCr (PBE, optimized geometry)" magnetic_moment_mub_per_cell=2.75 ef_kj_per_mol_atoms=12.85 total_energy_ev_per_atom=-4.04 pbc="T T T"
Al -0.0148 0.0000 1.3528
Al 1.6889 2.2517 3.9225
Al 2.9259 2.2517 1.3500
Al 1.6889 -2.2517 3.9225
Al 2.9259 -2.2517 1.3500
Al 4.6296 0.0000 3.9197
Zn 2.3448 0.0000 0.0000
Cr 2.3074 0.0000 2.6362

Entry 3:
5
Lattice="-2.1032 2.1032 7.7273 2.1032 -2.1032 7.7273 2.1032 2.1032 -7.7273" Properties=species:S:1:pos:R:3 comment="Ag2Te2Pb (PBE, optimized geometry)" formation_energy_uncorrected_ev_per_atom=-0.11 magnetic_moment_mub_per_cell=0.00 total_energy_ev_per_atom=-3.25 de_polymorph_ev_per_atom=0.036 pbc="T T T"
Ag 2.1032 0.0000 3.8636
Ag 0.0000 2.1032 3.8636
Te 0.0000 0.0000 1.8096
Te 0.0000 0.0000 13.6450
Pb 0.0000 0.0000 7.7273